Entry 1:
Here is a geometry-optimized Y5Ge2Sb2 structure from Alexandria. Energies are from PBE-GGA.

```
Y5Ge2Sb2
1.0
7.590 -3.968 0.000
7.590 3.968 0.000
0.000 0.000 7.956
Y Ge Sb
10 4 4
Direct
0.000 0.000 0.000
0.036 0.709 0.663
0.209 0.536 0.163
0.291 0.964 0.663
0.464 0.791 0.163
0.500 0.500 0.500
0.536 0.209 0.837
0.709 0.036 0.337
0.791 0.464 0.837
0.964 0.291 0.337
0.140 0.860 0.361
0.360 0.640 0.861
0.640 0.360 0.139
0.860 0.140 0.639
0.205 0.205 0.000
0.295 0.295 0.500
0.705 0.705 0.500
0.795 0.795 0.000
```

The calculation puts the raw formation energy at -23.26 kcal/mol of atoms. The space-group type is Cmce (64). The calculation puts the volume at 479.2 Å³ per cell.

***

Entry 2:
Here is a geometry-optimized YGe2Sb2 structure from Alexandria. Energies are from PBE-GGA.

```
YGe2Sb2
1.0
-2.135 2.135 7.123
2.135 -2.135 7.123
2.135 2.135 -7.123
Y Ge Sb
1 2 2
Direct
0.000 0.000 0.000
0.414 0.414 0.000
0.586 0.586 0.000
0.250 0.750 0.500
0.750 0.250 0.500
```

The calculation puts the raw formation energy at -0.51 kcal/mol of atoms. The space-group type is I4/mmm (139). The calculation puts the volume at 129.9 Å³ per cell.

***

Entry 3:
Here is a geometry-optimized YGe2Sb structure from Alexandria. Energies are from PBE-GGA.

```
YGe2Sb
1.0
-4.022 4.022 3.038
4.022 -4.022 3.038
4.022 4.022 -3.038
Y Ge Sb
2 4 2
Direct
0.000 0.000 0.000
0.750 0.250 0.500
0.136 0.625 0.011
0.375 0.386 0.511
0.614 0.125 0.989
0.875 0.864 0.489
0.250 0.750 0.500
0.500 0.500 0.000
```

The calculation puts the raw formation energy at -4.10 kcal/mol of atoms. The space-group type is I-42d (122). The calculation puts the volume at 196.6 Å³ per cell.

***

| no. | density of states at the Fermi level (states/eV per cell) |
| --- | --- |
| 1 | 12.66 |
| 2 | 2.26 |
| 3 | 5.70 |